No. 1
# KNaCaI4 (PBE-GGA, optimized geometry)
# - Raw formation energy: -140 kJ per mole of atoms
# - Mass density: 3.1 g/cm³
# - Energy: -2.963 eV/atom
data_KNaCaI4
_chemical_formula_sum 'K4 Na4 Ca4 I16'
_cell_length_a 9.4471
_cell_length_b 9.5376
_cell_length_c 14.6301
_cell_angle_alpha 90.00
_cell_angle_beta 90.00
_cell_angle_gamma 90.00
_space_group_name_H-M_alt 'I m m a'
_space_group_IT_number 74
_space_group_name_Hall '-I 2b 2'
loop_
_atom_site_label
_atom_site_type_symbol
_atom_site_fract_x
_atom_site_fract_y
_atom_site_fract_z
K1 K 0.0000 0.2500 0.1126
Na1 Na 0.0000 0.0000 0.5000
Ca1 Ca 0.2500 0.2500 0.7500
I1 I 0.0000 0.0249 0.7383
I2 I 0.2283 0.2500 0.5351

No. 2
# Y2ScCo2 (PBE-GGA, optimized geometry)
# - ΔH_f (0 K): 156 meV per atom
# - Energy relative to the lowest polymorph listed for this composition: 1.86 eV per formula unit
# - Mass density: 5.1 g/cm³
# - Energy: -6.539 eV/atom
data_Y2ScCo2
_chemical_formula_sum 'Y4 Sc2 Co4'
_cell_length_a 3.3566
_cell_length_b 3.3566
_cell_length_c 19.8583
_cell_angle_alpha 90.00
_cell_angle_beta 90.00
_cell_angle_gamma 90.00
_space_group_name_H-M_alt 'I 4/m m m'
_space_group_IT_number 139
_space_group_name_Hall '-I 4 2'
loop_
_atom_site_label
_atom_site_type_symbol
_atom_site_fract_x
_atom_site_fract_y
_atom_site_fract_z
Y1 Y 0.0000 0.0000 0.1306
Sc1 Sc 0.0000 0.0000 0.5000
Co1 Co 0.0000 0.5000 0.2500

No. 3
# LaTb2Er (PBE-GGA, optimized geometry)
# - ΔH_f (0 K): 25 meV per atom
# - Energy relative to the lowest polymorph listed for this composition: 0.07 eV per formula unit
# - Mass density: 7.9 g/cm³
# - Energy: -4.663 eV/atom
data_LaTb2Er
_chemical_formula_sum 'La4 Tb8 Er4'
_cell_length_a 10.1320
_cell_length_b 10.1792
_cell_length_c 5.0970
_cell_angle_alpha 90.00
_cell_angle_beta 90.00
_cell_angle_gamma 90.00
_space_group_name_H-M_alt 'C m c m'
_space_group_IT_number 63
_space_group_name_Hall '-C 2c 2'
loop_
_atom_site_label
_atom_site_type_symbol
_atom_site_fract_x
_atom_site_fract_y
_atom_site_fract_z
La1 La 0.0000 0.1272 0.2500
Tb1 Tb 0.2476 0.3751 0.2500
Er1 Er 0.0000 0.3787 0.7500

No. 4
# IrC2 (PBE-GGA, optimized geometry)
# - ΔH_f (0 K): 1256 meV per atom
# - Energy relative to the lowest polymorph listed for this composition: 2.00 eV per formula unit
# - Mass density: 11.8 g/cm³
# - Energy: -7.847 eV/atom
data_IrC2
_chemical_formula_sum 'Ir4 C8'
_cell_length_a 4.9584
_cell_length_b 4.9584
_cell_length_c 4.9584
_cell_angle_alpha 90.00
_cell_angle_beta 90.00
_cell_angle_gamma 90.00
_space_group_name_H-M_alt 'P a -3'
_space_group_IT_number 205
_space_group_name_Hall '-P 2ac 2ab 3'
loop_
_atom_site_label
_atom_site_type_symbol
_atom_site_fract_x
_atom_site_fract_y
_atom_site_fract_z
Ir1 Ir 0.0000 0.0000 0.0000
C1 C 0.0812 0.5812 0.9188